{
  "formula": "TiAl3",
  "functional": "meta-GGA SCAN",
  "state": "PBEsol geometry",
  "cell": [[3.9469, 0.0000, 0.0000], [0.0000, 3.9469, 0.0000], [0.0000, 0.0000, 3.9469]],
  "species": ["Ti", "Al", "Al", "Al"],
  "frac_coords": [[0.0000, 0.0000, 0.0000], [0.5000, 0.5000, 0.0000], [0.0000, 0.5000, 0.5000], [0.5000, 0.0000, 0.5000]],
  "spacegroup": "Pm-3m (221)",
  "delta_e_f_ev_per_atom": -0.390,
  "dft_energy_ev_per_fu": -40.844
}


{
  "formula": "Zr2Mo",
  "functional": "meta-GGA SCAN",
  "state": "PBEsol geometry",
  "cell": [[-2.4451, -2.1233, 0.8239], [2.4204, -3.6675, -2.2686], [4.5741, -0.4575, 5.6198]],
  "species": ["Mo", "Mo", "Zr", "Zr", "Zr", "Zr"],
  "frac_coords": [[0.5795, 0.2500, 0.1591], [0.4205, 0.7500, 0.8409], [0.7701, 0.7500, 0.5403], [0.9252, 0.2500, 0.8505], [0.0748, 0.7500, 0.1495], [0.2299, 0.2500, 0.4597]],
  "spacegroup": "Cmcm (63)",
  "relative_energy_mev_per_atom": 5,
  "delta_e_f_ev_per_atom": 0.009,
  "dft_energy_ev_per_fu": -96.255
}


{
  "formula": "Ba2HoB2ClO6",
  "functional": "meta-GGA SCAN",
  "state": "PBEsol geometry",
  "cell": [[-1.1688, -2.2687, -4.6233], [5.7004, -2.8665, -0.0345], [-5.5182, -8.1914, 5.4147]],
  "species": ["O", "O", "O", "O", "O", "O", "O", "O", "O", "O", "O", "O", "B", "B", "B", "B", "Ho", "Ho", "Cl", "Cl", "Ba", "Ba", "Ba", "Ba"],
  "frac_coords": [[0.4713, 0.3255, 0.5645], [0.7500, 0.4742, 0.8537], [0.0259, 0.2921, 0.2640], [0.5259, 0.7079, 0.7360], [0.9741, 0.7079, 0.7360], [0.5287, 0.6745, 0.4355], [0.9713, 0.6745, 0.4355], [0.2500, 0.5258, 0.1463], [0.2500, 0.0050, 0.5949], [0.7500, 0.9950, 0.4051], [0.0287, 0.3255, 0.5645], [0.4741, 0.2921, 0.2640], [0.2500, 0.2097, 0.5725], [0.7500, 0.7903, 0.4275], [0.2500, 0.3775, 0.2265], [0.7500, 0.6225, 0.7735], [0.7500, 0.3488, 0.4135], [0.2500, 0.6512, 0.5865], [0.7500, 0.8507, 0.0851], [0.2500, 0.1493, 0.9149], [0.7500, 0.0916, 0.7055], [0.2500, 0.6577, 0.9250], [0.2500, 0.9084, 0.2945], [0.7500, 0.3423, 0.0750]],
  "spacegroup": "P2_1/m (11)",
  "raw_formation_energy_ev_per_atom": -3.205,
  "dft_energy_ev_per_fu": -226.778
}


{
  "formula": "NpAs2",
  "functional": "meta-GGA SCAN",
  "state": "PBEsol geometry",
  "cell": [[3.8996, 0.0000, 0.0000], [0.0000, 3.8996, 0.0000], [0.0000, 0.0000, 7.9042]],
  "species": ["As", "As", "As", "As", "Np", "Np"],
  "frac_coords": [[0.0000, 0.5000, 0.3553], [0.5000, 0.5000, 0.0000], [0.0000, 0.0000, 0.0000], [0.5000, 0.0000, 0.6447], [0.0000, 0.5000, 0.7141], [0.5000, 0.0000, 0.2859]],
  "spacegroup": "P4/nmm (129)",
  "delta_e_f_ev_per_atom": -0.473,
  "dft_energy_ev_per_fu": -148.808
}


{
  "formula": "Ba2AgRuF",
  "functional": "meta-GGA SCAN",
  "state": "PBEsol geometry",
  "cell": [[-0.7175, -1.3279, 3.8643], [-5.5474, -1.7521, -1.6320], [2.1544, -5.4495, -1.4726]],
  "species": ["Ru", "Ag", "Ba", "Ba", "F"],
  "frac_coords": [[0.5000, 0.5000, 0.5000], [0.0000, 0.0000, 0.0000], [0.0000, 0.0000, 0.5000], [0.0000, 0.5000, 0.0000], [0.5000, 0.0000, 0.0000]],
  "spacegroup": "P4/mmm (123)",
  "raw_formation_energy_ev_per_atom": 0.156,
  "dft_energy_ev_per_fu": -148.052
}


{
  "formula": "CaTlRu",
  "functional": "meta-GGA SCAN",
  "state": "PBEsol geometry",
  "cell": [[-2.9324, -1.7420, 0.6518], [0.7077, 0.0804, 3.3987], [-1.4491, 5.3025, -1.5976]],
  "species": ["Ca", "Ru", "Tl"],
  "frac_coords": [[0.9881, 0.9881, 0.9762], [0.3192, 0.3192, 0.6384], [0.6927, 0.6927, 0.3854]],
  "spacegroup": "I4mm (107)",
  "delta_e_f_ev_per_atom": 0.137,
  "dft_energy_ev_per_fu": -116.438
}


{
  "formula": "BeNbTe2H",
  "functional": "meta-GGA SCAN",
  "state": "PBEsol geometry",
  "cell": [[-3.0755, -1.6372, -3.1723], [3.8137, -0.1250, -3.6328], [1.1781, -4.9387, 1.4067]],
  "species": ["Te", "Te", "H", "Nb", "Be"],
  "frac_coords": [[0.0000, 0.0000, 0.5000], [0.0000, 0.5000, 0.0000], [0.5000, 0.5000, 0.5000], [0.0000, 0.0000, 0.0000], [0.5000, 0.0000, 0.0000]],
  "spacegroup": "P4/mmm (123)",
  "dft_energy_ev_per_fu": -111.289
}


{
  "formula": "MnSbAs3",
  "functional": "meta-GGA SCAN",
  "state": "PBEsol geometry",
  "cell": [[4.5870, 0.0000, 0.0000], [0.0000, 4.5870, 0.0000], [0.0000, 0.0000, 4.5870]],
  "species": ["Sb", "As", "As", "As", "Mn"],
  "frac_coords": [[0.5000, 0.5000, 0.5000], [0.0000, 0.5000, 0.0000], [0.0000, 0.0000, 0.5000], [0.5000, 0.0000, 0.0000], [0.0000, 0.0000, 0.0000]],
  "spacegroup": "Pm-3m (221)",
  "raw_formation_energy_ev_per_atom": 0.420,
  "dft_energy_ev_per_fu": -113.989
}